# 1
Material: La2TbAl3Ga6
Method: DFT, PBE-GGA
State: optimized geometry

Cell: 4.2532 4.2532 17.2182 Å, 90.00 90.00 90.00°
Element x y z (fractional)
Ga: 0.5000 0.0000 0.3737
Ga: 0.0000 0.0000 0.1386
Ga: 0.0000 0.0000 0.8614
Ga: 0.5000 0.0000 0.6263
Ga: 0.0000 0.5000 0.6263
Ga: 0.0000 0.5000 0.3737
Tb: 0.5000 0.5000 0.5000
La: 0.5000 0.5000 0.2150
La: 0.5000 0.5000 0.7850
Al: 0.0000 0.0000 0.2808
Al: 0.0000 0.0000 0.0000
Al: 0.0000 0.0000 0.7192

***

# 2
Material: Ag4PtAu4
Method: DFT, PBE-GGA
State: optimized geometry

Cell: 4.2135 6.4857 6.4857 Å, 83.94 71.04 71.04°
Element x y z (fractional)
Ag: 0.3351 0.0001 0.3298
Ag: 0.6648 0.6702 0.0001
Ag: 0.6649 0.9999 0.6702
Ag: 0.3352 0.3298 0.9999
Au: 0.6698 0.3301 0.3302
Au: 0.0000 0.3302 0.6699
Au: 0.0000 0.6698 0.3301
Au: 0.3302 0.6699 0.6698
Pt: 0.0000 0.0000 0.0000

***

# 3
Material: FeRh2W
Method: DFT, PBE-GGA
State: optimized geometry

Output
Excess energy over the best structure of this formula in the dataset   0.150 eV/atom

Cell: 8.8261 8.8261 8.8261 Å, 18.00 18.00 18.00°
Element x y z (fractional)
W: 0.2500 0.2500 0.2500
Fe: 0.7500 0.7500 0.7500
Rh: 0.4984 0.4984 0.4984
Rh: 0.0016 0.0016 0.0016

***

no.,energy of formation (eV per atom),calculated total energy (eV/atom)
1,-0.2011,-3.857
2,-0.0308,-3.426
3,-0.0108,-9.041